1.
A relaxed CeCrCoP2 crystal. Source: the Alexandria database, functional GGA-PBE.

Values from the calculation:
E = -7.62 eV/atom
Calculated volume = 150.9 Å³ per cell
Size of the total moment = 0.03 μB/f.u.

abc: 3.9054 3.9054 9.8934
angles: 90.00 90.00 90.00
Space group I-4m2 (No. 119)
Asymmetric unit:
Ce (0.0000, 0.0000, 0.0000) x2
Cr (0.0000, 0.5000, 0.2500) x2
Co (0.0000, 0.5000, 0.7500) x2
P (0.0000, 0.0000, 0.3623) x4

2.
A relaxed Ce2CrCoS5 crystal. Source: the Alexandria database, functional GGA-PBE.

Values from the calculation:
Calculated volume = 670.0 Å³ per cell
E_form (uncorrected) = -1.321 eV/atom
Size of the total moment = 2.94 μB/f.u.

abc: 3.7805 15.7210 11.2736
angles: 90.00 90.00 90.00
Space group Cmc2_1 (No. 36)
Asymmetric unit:
Ce (0.0000, 0.1175, 0.0000) x4
Ce (0.0000, 0.1254, 0.3647) x4
Cr (0.0000, 0.1800, 0.6882) x4
Co (0.0000, 0.4327, 0.0999) x4
S (0.0000, 0.0291, 0.6881) x4
S (0.0000, 0.3022, 0.0327) x4
S (0.0000, 0.3067, 0.3311) x4
S (0.0000, 0.3385, 0.6816) x4
S (0.0000, 0.4979, 0.9267) x4